No. 1
The following is a PBE calculation of a geometry-optimized Cr2ReTc structure, from Alexandria.

a = 4.9523 Å, b = 4.9523 Å, c = 4.9523 Å
α = 145.21°, β = 129.37°, γ = 62.90°
Sites, in units of the cell vectors:
Cr 0.0000 0.0000 0.0000
Cr 0.7785 0.2785 0.5000
Re 0.2545 0.7545 0.5000
Tc 0.5217 0.5217 0.0000

## Properties
**Space group**: Imm2, No. 44
**ΔH_f (0 K)**: 0.041 eV/atom
**E**: -10.47 eV/atom
**M_tot**: 0.0 μB per cell
**Calculated volume**: 13.25 A^3/atom



No. 2
The following is a PBE calculation of a geometry-optimized Tb5Ga4Cu structure, from Alexandria.

a = 3.5400 Å, b = 3.5400 Å, c = 18.1808 Å
α = 90.00°, β = 90.00°, γ = 90.00°
Sites, in units of the cell vectors:
Tb 0.0000 0.0000 0.0000
Tb 0.0000 0.0000 0.2020
Tb 0.0000 0.0000 0.4042
Tb 0.0000 0.0000 0.5958
Tb 0.0000 0.0000 0.7980
Ga 0.5000 0.5000 0.1006
Ga 0.5000 0.5000 0.3040
Ga 0.5000 0.5000 0.6960
Ga 0.5000 0.5000 0.8994
Cu 0.5000 0.5000 0.5000

## Properties
**Space group**: P4/mmm, No. 123
**ΔH_f (0 K)**: -0.508 eV/atom
**E**: -4.44 eV/atom
**M_tot**: 0.0 μB per cell
**Calculated volume**: 22.78 A^3/atom



No. 3
The following is a PBE calculation of a geometry-optimized CsRh2S4 structure, from Alexandria.

a = 8.0317 Å, b = 8.0317 Å, c = 8.0317 Å
α = 103.10°, β = 103.10°, γ = 123.14°
Sites, in units of the cell vectors:
Cs 0.0000 0.0000 0.0000
Cs 0.7500 0.2500 0.5000
Rh 0.3065 0.1250 0.6815
Rh 0.3750 0.6935 0.8185
Rh 0.4435 0.6250 0.3185
Rh 0.8750 0.5565 0.1815
S 0.0761 0.4478 0.2307
S 0.1546 0.9239 0.3717
S 0.1978 0.3261 0.7307
S 0.2171 0.8454 0.7693
S 0.5329 0.8022 0.1283
S 0.5522 0.7829 0.6283
S 0.5954 0.4671 0.2693
S 0.6739 0.4046 0.8717

## Properties
**Space group**: I-42d, No. 122
**Uncorrected formation energy**: -2.3 eV per formula unit
**E**: -4.91 eV/atom
**M_tot**: 0.0 μB per cell
**Calculated volume**: 27.25 A^3/atom



No. 4
The following is a PBE calculation of a geometry-optimized La3Tl3InS8 structure, from Alexandria.

a = 8.7489 Å, b = 8.7489 Å, c = 8.7489 Å
α = 57.33°, β = 57.33°, γ = 57.33°
Sites, in units of the cell vectors:
La 0.0000 0.5000 0.5000
La 0.5000 0.0000 0.5000
La 0.5000 0.5000 0.0000
Tl 0.0000 0.0000 0.5000
Tl 0.0000 0.5000 0.0000
Tl 0.5000 0.0000 0.0000
In 0.0000 0.0000 0.0000
S 0.2237 0.2237 0.7558
S 0.2237 0.7558 0.2237
S 0.2442 0.7763 0.7763
S 0.2630 0.2630 0.2630
S 0.7370 0.7370 0.7370
S 0.7558 0.2237 0.2237
S 0.7763 0.2442 0.7763
S 0.7763 0.7763 0.2442

## Properties
**Space group**: R-3m, No. 166
**Uncorrected formation energy**: -18.4 eV per formula unit
**E**: -5.07 eV/atom
**M_tot**: 0.0 μB per cell
**Calculated volume**: 29.63 A^3/atom



No. 5
The following is a PBE calculation of a geometry-optimized Pr2Nd3Tl4 structure, from Alexandria.

a = 5.4646 Å, b = 5.4646 Å, c = 10.8068 Å
α = 90.01°, β = 90.01°, γ = 59.98°
Sites, in units of the cell vectors:
Pr 0.1674 0.1674 0.2192
Pr 0.8326 0.8326 0.7808
Nd 0.1669 0.1669 0.5775
Nd 0.5000 0.5000 0.0000
Nd 0.8331 0.8331 0.4225
Tl 0.1669 0.1669 0.8984
Tl 0.4994 0.4994 0.6510
Tl 0.5006 0.5006 0.3490
Tl 0.8331 0.8331 0.1016

## Properties
**Space group**: C2/m, No. 12
**ΔH_f (0 K)**: -0.322 eV/atom
**E**: -4.02 eV/atom
**M_tot**: 0.0 μB per cell
**Calculated volume**: 31.05 A^3/atom



No. 6
The following is a PBE calculation of a geometry-optimized MnTcI6 structure, from Alexandria.

a = 7.6381 Å, b = 7.6381 Å, c = 7.0584 Å
α = 99.72°, β = 99.72°, γ = 124.93°
Sites, in units of the cell vectors:
Mn 0.0000 0.0000 0.0000
Tc 0.5000 0.5000 0.5000
I 0.1091 0.3949 0.2525
I 0.2669 0.2669 0.7336
I 0.3949 0.1091 0.2525
I 0.6051 0.8909 0.7475
I 0.7331 0.7331 0.2664
I 0.8909 0.6051 0.7475

## Properties
**Space group**: C2/m, No. 12
**Uncorrected formation energy**: -1.1 eV per formula unit
**E**: -3.74 eV/atom
**M_tot**: 7.5 μB per cell
**Calculated volume**: 39.28 A^3/atom



No. 7
The following is a PBE calculation of a geometry-optimized KPaTlBr6 structure, from Alexandria.

a = 8.0878 Å, b = 8.0878 Å, c = 13.4838 Å
α = 90.00°, β = 90.00°, γ = 120.00°
Sites, in units of the cell vectors:
K 0.3333 0.6667 0.2500
K 0.6667 0.3333 0.7500
Pa 0.3333 0.6667 0.7500
Pa 0.6667 0.3333 0.2500
Tl 0.0000 0.0000 0.0000
Tl 0.0000 0.0000 0.5000
Br 0.0477 0.3817 0.6299
Br 0.0477 0.6660 0.8701
Br 0.3340 0.3817 0.8701
Br 0.3340 0.9523 0.6299
Br 0.3817 0.0477 0.1299
Br 0.3817 0.3340 0.3701
Br 0.6183 0.6660 0.6299
Br 0.6183 0.9523 0.8701
Br 0.6660 0.0477 0.3701
Br 0.6660 0.6183 0.1299
Br 0.9523 0.3340 0.1299
Br 0.9523 0.6183 0.3701

## Properties
**Space group**: P-31c, No. 163
**Uncorrected formation energy**: -12.9 eV per formula unit
**E**: -3.98 eV/atom
**M_tot**: 2.0 μB per cell
**Calculated volume**: 42.44 A^3/atom



No. 8
The following is a PBE calculation of a geometry-optimized La3In structure, from Alexandria.

a = 3.7347 Å, b = 4.7592 Å, c = 7.3585 Å
α = 90.00°, β = 90.00°, γ = 90.00°
Sites, in units of the cell vectors:
La 0.0000 0.0000 0.0000
La 0.5000 0.5000 0.2741
La 0.5000 0.5000 0.7259
In 0.0000 0.0000 0.5000

## Properties
**Space group**: Pmmm, No. 47
**ΔH_f (0 K)**: -0.259 eV/atom
**E**: -4.64 eV/atom
**M_tot**: 0.0 μB per cell
**Calculated volume**: 32.70 A^3/atom



No. 9
The following is a PBE calculation of a geometry-optimized Ca2Ga2PdPt5 structure, from Alexandria.

a = 9.6632 Å, b = 9.6632 Å, c = 3.7842 Å
α = 90.00°, β = 90.00°, γ = 90.00°
Sites, in units of the cell vectors:
Ca 0.1756 0.3244 0.0000
Ca 0.3244 0.8244 0.0000
Ca 0.6756 0.1756 0.0000
Ca 0.8244 0.6756 0.0000
Ga 0.1248 0.6248 0.0000
Ga 0.3752 0.1248 0.0000
Ga 0.6248 0.8752 0.0000
Ga 0.8752 0.3752 0.0000
Pd 0.0000 0.0000 0.0000
Pd 0.5000 0.5000 0.0000
Pt 0.0000 0.5000 0.5000
Pt 0.0644 0.7956 0.5000
Pt 0.2044 0.0644 0.5000
Pt 0.2956 0.5644 0.5000
Pt 0.4356 0.2956 0.5000
Pt 0.5000 0.0000 0.5000
Pt 0.5644 0.7044 0.5000
Pt 0.7044 0.4356 0.5000
Pt 0.7956 0.9356 0.5000
Pt 0.9356 0.2044 0.5000

## Properties
**Space group**: P4/mbm, No. 127
**ΔH_f (0 K)**: -0.723 eV/atom
**E**: -5.27 eV/atom
**M_tot**: 0.0 μB per cell
**Calculated volume**: 17.67 A^3/atom



No. 10
The following is a PBE calculation of a geometry-optimized AlCuGe structure, from Alexandria.

a = 6.8779 Å, b = 4.2043 Å, c = 6.6309 Å
α = 90.00°, β = 90.00°, γ = 90.00°
Sites, in units of the cell vectors:
Al 0.0318 0.2500 0.2029
Al 0.4682 0.7500 0.7029
Al 0.5318 0.2500 0.2971
Al 0.9682 0.7500 0.7971
Cu 0.0975 0.7500 0.4335
Cu 0.4025 0.2500 0.9335
Cu 0.5975 0.7500 0.0665
Cu 0.9025 0.2500 0.5665
Ge 0.2281 0.7500 0.0749
Ge 0.2719 0.2500 0.5749
Ge 0.7281 0.7500 0.4251
Ge 0.7719 0.2500 0.9251

## Properties
**Space group**: Pnma, No. 62
**ΔH_f (0 K)**: -0.007 eV/atom
**E**: -4.16 eV/atom
**M_tot**: 0.0 μB per cell
**Calculated volume**: 15.98 A^3/atom



No. 11
The following is a PBE calculation of a geometry-optimized CsBi3Rh structure, from Alexandria.

a = 4.1036 Å, b = 8.5715 Å, c = 9.6898 Å
α = 90.00°, β = 90.00°, γ = 90.00°
Sites, in units of the cell vectors:
Cs 0.2500 0.2500 0.0674
Cs 0.7500 0.7500 0.9326
Bi 0.2500 0.5562 0.6257
Bi 0.2500 0.7500 0.2780
Bi 0.2500 0.9438 0.6257
Bi 0.7500 0.0562 0.3743
Bi 0.7500 0.2500 0.7220
Bi 0.7500 0.4438 0.3743
Rh 0.2500 0.2500 0.5200
Rh 0.7500 0.7500 0.4800

## Properties
**Space group**: Pmmn, No. 59
**ΔH_f (0 K)**: -0.228 eV/atom
**E**: -4.20 eV/atom
**M_tot**: 0.0 μB per cell
**Calculated volume**: 34.08 A^3/atom